1:
The following is a PBE calculation of a relaxed structure of KTaHg, from the Alexandria database.

## Properties
Magnetic moment (μB per atom): 0.000

abc: 3.0773 3.0773 8.8186
angles: 90.00 90.00 120.00
Space group P3m1 (No. 156)
One atom of each set of equivalent atoms:
K (0.0000, 0.0000, 0.0000) [1 per cell]
Ta (0.6667, 0.3333, 0.3700) [1 per cell]
Hg (0.3333, 0.6667, 0.6557) [1 per cell]

=====

2:
The following is a PBE calculation of a relaxed structure of KTaHg, from the Alexandria database.

## Properties
Magnetic moment (μB per atom): 0.000

abc: 26.346 4.324 3.310
angles: 90.00 97.05 90.00
Space group Cm (No. 8)
One atom of each set of equivalent atoms:
K (0.000, 0.000, 0.000) [2 per cell]
K (0.152, 0.500, 0.660) [2 per cell]
Ta (0.316, 0.500, 0.320) [2 per cell]
Ta (0.330, 0.000, 0.834) [2 per cell]
Hg (0.232, 0.000, 0.239) [2 per cell]
Hg (0.421, 0.000, 0.423) [2 per cell]

=====

Relative calculated energies, zero for the most stable structure, unit meV/atom: 1 372; 2 0.

=====

1:
The following is a PBE calculation of a relaxed structure of SrAg2Os, from the Alexandria database.

## Properties
Magnetic moment (μB per atom): 0.000

abc: 4.608 4.608 3.821
angles: 90.00 90.00 90.00
Space group P4/mmm (No. 123)
One atom of each set of equivalent atoms:
Sr (0.000, 0.000, 0.000) [1 per cell]
Ag (0.000, 0.500, 0.500) [2 per cell]
Os (0.500, 0.500, 0.000) [1 per cell]

=====

2:
The following is a PBE calculation of a relaxed structure of SrAg2Os, from the Alexandria database.

## Properties
Magnetic moment (μB per atom): 0.000

abc: 9.954 2.896 5.701
angles: 90.00 98.24 90.00
Space group Cm (No. 8)
One atom of each set of equivalent atoms:
Sr (0.000, 0.000, 0.000) [2 per cell]
Ag (0.006, 0.500, 0.517) [2 per cell]
Ag (0.262, 0.500, 0.289) [2 per cell]
Os (0.246, 0.000, 0.709) [2 per cell]

=====

Relative calculated energies, zero for the most stable structure, unit meV/atom: 1 15; 2 0.